The following is a PBE-GGA calculation of LiAlF2 after structural relaxation, from Alexandria.

Geometry as POSCAR:
```
LiAlF2
1.0
0.000 2.983 2.983
2.983 0.000 2.983
2.983 2.983 0.000
Li F Al
1 2 1
Cartesian
0.000 0.000 0.000
4.474 4.474 4.474
1.491 1.491 1.491
2.983 2.983 2.983
```

Calculated density, g/cm³: 2.2
Formation energy from raw total energies, eV/atom: -1.658